Version one
# Te2OsIN

Te2OsIN at its PBEsol-relaxed geometry (meta-GGA SCAN, Alexandria via LeMat-Bulk).

Cell lengths 5.5678, 5.5678, 3.7473 Å; angles 90.00, 90.00, 90.00 degrees
With the nearest neighbours (Å) after each atom.
Fractional coordinates of all 5 atoms:
Te1 0.0000 0.5000 0.0000  2 I 2.78
Te2 0.5000 0.0000 0.0000  2 I 2.78
Os1 0.0000 0.0000 0.5000  8 Te 3.36, 2 Os 3.75
I1 0.5000 0.5000 0.0000  2 N 1.87
N1 0.5000 0.5000 0.5000  2 I 1.87

Properties
Size of the total moment, μB/f.u.: 0.00
Symmetry: P4/mmm, No. 123

***

Version two
# Te2OsIN

Te2OsIN at its PBEsol-relaxed geometry (meta-GGA SCAN, Alexandria via LeMat-Bulk).

Cell lengths 4.5441, 4.5441, 4.6920 Å; angles 90.00, 90.00, 90.00 degrees
With the nearest neighbours (Å) after each atom.
Fractional coordinates of all 5 atoms:
Te1 0.0000 0.5000 0.0000  2 N 2.27
Te2 0.5000 0.0000 0.0000  2 N 2.27
Os1 0.0000 0.0000 0.5000  4 I 3.21, 8 Te 3.27
I1 0.5000 0.5000 0.5000  2 N 2.35
N1 0.5000 0.5000 0.0000  4 Te 2.27, 2 I 2.35

Properties
Size of the total moment, μB/f.u.: 0.00
Symmetry: P4/mmm, No. 123

***

Which structure is the most stable? The one labeled version two.

***

Version one
# SbPIN2

SbPIN2 at its PBEsol-relaxed geometry (meta-GGA SCAN, Alexandria via LeMat-Bulk).

Cell lengths 3.9843, 3.9843, 6.6651 Å; angles 90.00, 90.00, 90.00 degrees
With the nearest neighbours (Å) after each atom.
Fractional coordinates of all 5 atoms:
Sb1 0.0000 0.0000 0.0000  4 N 1.99
P1 0.5000 0.5000 0.5000  4 I 2.82
I1 0.0000 0.0000 0.5000  4 P 2.82
N1 0.0000 0.5000 0.0000  2 Sb 1.99
N2 0.5000 0.0000 0.0000  2 Sb 1.99

Properties
Size of the total moment, μB/f.u.: 2.13
Symmetry: P4/mmm, No. 123

***

Version two
# SbPIN2

SbPIN2 at its PBEsol-relaxed geometry (meta-GGA SCAN, Alexandria via LeMat-Bulk).

Cell lengths 3.9001, 3.9001, 5.4184 Å; angles 90.00, 90.00, 90.00 degrees
With the nearest neighbours (Å) after each atom.
Fractional coordinates of all 5 atoms:
Sb1 0.0000 0.0000 0.0000  2 P 2.71, 4 I 2.76
P1 0.0000 0.0000 0.5000  4 N 1.95
I1 0.5000 0.5000 0.0000  4 Sb 2.76
N1 0.0000 0.5000 0.5000  2 P 1.95
N2 0.5000 0.0000 0.5000  2 P 1.95

Properties
Size of the total moment, μB/f.u.: 1.58
Symmetry: P4/mmm, No. 123

***

Version three
# SbPIN2

SbPIN2 at its PBEsol-relaxed geometry (meta-GGA SCAN, Alexandria via LeMat-Bulk).

Cell lengths 3.9768, 3.9768, 5.0710 Å; angles 90.00, 90.00, 90.00 degrees
With the nearest neighbours (Å) after each atom.
Fractional coordinates of all 5 atoms:
Sb1 0.0000 0.0000 0.0000  4 I 2.81
P1 0.5000 0.5000 0.5000  4 N 1.99
I1 0.5000 0.5000 0.0000  2 P 2.54, 4 Sb 2.81
N1 0.0000 0.5000 0.5000  2 P 1.99
N2 0.5000 0.0000 0.5000  2 P 1.99

Properties
Size of the total moment, μB/f.u.: 0.00
Symmetry: P4/mmm, No. 123

***

Which structure is the most stable? The one labeled version two.